Entry from Alexandria via LeMat-Bulk: a geometry-optimized LaAlRh2 structure (PBE).

Geometry as extended XYZ:
```
4
Lattice="4.167 0.000 0.000 0.000 3.533 0.019 0.000 1.740 5.220" Properties=species:S:1:pos:R:3 pbc="T T T"
Rh 0.000 2.407 5.113
Rh 2.083 0.647 1.671
Al 0.000 2.418 1.997
La 2.083 4.179 4.298
```

Summary:
* crystal system: monoclinic
* space-group type: Pm

Entry from Alexandria via LeMat-Bulk: a geometry-optimized LaAlRh structure (PBE).

Geometry as extended XYZ:
```
24
Lattice="-1.746 2.647 -2.881 2.060 -4.482 -5.366 -14.091 -7.953 1.232" Properties=species:S:1:pos:R:3 pbc="T T T"
La -4.347 -1.670 -0.493
La -9.429 -8.119 -6.522
La -11.326 -6.367 -3.763
La -2.450 -3.422 -3.251
La -0.955 -0.519 -1.490
La -12.821 -9.270 -5.525
La -8.491 -4.004 -3.310
La -5.285 -5.785 -3.704
Al -12.130 -6.794 -0.483
Al -1.646 -2.995 -6.531
Al -5.551 -2.377 -3.597
Al -8.225 -7.412 -3.418
Al -8.321 -3.820 -0.059
Al -5.455 -5.969 -6.955
Al -1.141 -0.711 -4.740
Al -12.635 -9.077 -2.275
Rh -9.463 -5.977 -1.349
Rh -4.313 -3.811 -5.665
Rh -3.387 -0.466 -3.153
Rh -10.389 -9.322 -3.861
Rh -6.021 -3.711 -1.353
Rh -7.755 -6.078 -5.662
Rh -13.800 -6.667 -2.540
Rh 0.024 -3.122 -4.474
```

Summary:
* crystal system: orthorhombic
* space-group type: Pnma

Entry from Alexandria via LeMat-Bulk: a geometry-optimized La3Al4Rh2 structure (PBE).

Geometry as extended XYZ:
```
9
Lattice="4.637 0.000 0.000 -2.318 5.347 0.219 0.000 -1.855 8.235" Properties=species:S:1:pos:R:3 pbc="T T T"
La 2.318 -0.151 5.831
La 0.000 0.000 0.000
La 0.000 3.643 2.623
Al 2.318 2.150 0.817
Al 0.000 1.343 7.637
Al 2.318 3.076 4.996
Al 0.000 0.417 3.458
Rh 2.318 1.339 3.169
Rh 0.000 2.153 5.285
```

Summary:
* crystal system: monoclinic
* space-group type: C2/m

Entry from Alexandria via LeMat-Bulk: a geometry-optimized La6AlRh2 structure (PBE).

Geometry as extended XYZ:
```
9
Lattice="-5.561 -0.903 2.072 -5.087 -0.775 -3.092 0.249 -9.287 -0.208" Properties=species:S:1:pos:R:3 pbc="T T T"
La -9.648 -9.434 -1.120
La -4.065 -2.217 -0.428
La -6.333 -8.748 -0.799
La -3.172 -6.118 -0.443
La -7.227 -4.848 -0.784
La -0.751 -1.532 -0.107
Al 0.125 -4.644 -0.104
Rh -2.609 -8.689 -0.455
Rh -7.790 -2.277 -0.772
```

Summary:
* crystal system: monoclinic
* space-group type: C2/m

Which ΔE_f belongs to each record? In order, -0.6300; -0.8409; -0.6542; -0.4125 eV per atom.